Entry 1:
# LuTc2W | Alexandria via LeMat-Bulk | PBE-GGA | relaxed
# - Crystal system: tetragonal
# - Theoretical density: 13.5 g/cm³
# - Energy of formation from the pure elements: -0.109 eV per atom
# - Total magnetic moment: 0.0 Bohr magnetons per cell
data_LuTc2W
_chemical_formula_sum 'Lu1 Tc2 W1'
_space_group_name_H-M_alt 'P 4/m m m'
_space_group_IT_number 123
_space_group_name_Hall '-P 4 2'
_cell_length_a 3.195
_cell_length_b 3.195
_cell_length_c 6.689
_cell_angle_alpha 90.00
_cell_angle_beta 90.00
_cell_angle_gamma 90.00
loop_
_atom_site_label
_atom_site_fract_x
_atom_site_fract_y
_atom_site_fract_z
_atom_site_occupancy
Lu1 0.000 0.000 0.000 1
Tc1 0.500 0.500 0.277 1
W1 0.000 0.000 0.500 1

Entry 2:
# SrPt3F | Alexandria via LeMat-Bulk | PBE-GGA | relaxed
# - Crystal system: cubic
# - Theoretical density: 11.9 g/cm³
# - Formation energy (no corrections): 0.0248 eV per atom
# - Total magnetic moment: 0.6 Bohr magnetons per cell
data_SrPt3F
_chemical_formula_sum 'Sr1 Pt3 F1'
_space_group_name_H-M_alt 'P m -3 m'
_space_group_IT_number 221
_space_group_name_Hall '-P 4 2 3'
_cell_length_a 4.584
_cell_length_b 4.584
_cell_length_c 4.584
_cell_angle_alpha 90.00
_cell_angle_beta 90.00
_cell_angle_gamma 90.00
loop_
_atom_site_label
_atom_site_fract_x
_atom_site_fract_y
_atom_site_fract_z
_atom_site_occupancy
Sr1 0.000 0.000 0.000 1
Pt1 0.000 0.500 0.500 1
F1 0.500 0.500 0.500 1

Entry 3:
# Pm12PrRu4 | Alexandria via LeMat-Bulk | PBE-GGA | relaxed
# - Crystal system: cubic
# - Theoretical density: 6.7 g/cm³
# - Energy of formation from the pure elements: -0.045 eV per atom
# - Total magnetic moment: 0.0 Bohr magnetons per cell
data_Pm12PrRu4
_chemical_formula_sum 'Pm24 Pr2 Ru8'
_space_group_name_H-M_alt 'I m -3'
_space_group_IT_number 204
_space_group_name_Hall '-I 2 2 3'
_cell_length_a 10.408
_cell_length_b 10.408
_cell_length_c 10.408
_cell_angle_alpha 90.00
_cell_angle_beta 90.00
_cell_angle_gamma 90.00
loop_
_atom_site_label
_atom_site_fract_x
_atom_site_fract_y
_atom_site_fract_z
_atom_site_occupancy
Pm1 0.000 0.314 0.178 1
Pr1 0.000 0.000 0.000 1
Ru1 0.250 0.250 0.250 1

Entry 4:
# MoRuCl2 | Alexandria via LeMat-Bulk | PBE-GGA | relaxed
# - Crystal system: trigonal
# - Theoretical density: 6.0 g/cm³
# - Formation energy (no corrections): -0.0274 eV per atom
# - Total magnetic moment: 1.8 Bohr magnetons per cell
data_MoRuCl2
_chemical_formula_sum 'Mo3 Ru3 Cl6'
_space_group_name_H-M_alt 'R 3 m'
_space_group_IT_number 160
_space_group_name_Hall 'R 3 -2"'
_cell_length_a 3.0143
_cell_length_b 3.0143
_cell_length_c 28.1925
_cell_angle_alpha 90.00
_cell_angle_beta 90.00
_cell_angle_gamma 120.00
loop_
_atom_site_label
_atom_site_fract_x
_atom_site_fract_y
_atom_site_fract_z
_atom_site_occupancy
Mo1 0.0000 0.0000 0.0000 1
Ru1 0.0000 0.0000 0.7404 1
Cl1 0.0000 0.0000 0.2688 1
Cl2 0.0000 0.0000 0.4725 1

Entry 5:
# CaFeRu2 | Alexandria via LeMat-Bulk | PBE-GGA | relaxed
# - Crystal system: tetragonal
# - Theoretical density: 7.5 g/cm³
# - Energy of formation from the pure elements: 0.321 eV per atom
# - Total magnetic moment: 2.9 Bohr magnetons per cell
data_CaFeRu2
_chemical_formula_sum 'Ca1 Fe1 Ru2'
_space_group_name_H-M_alt 'P 4/m m m'
_space_group_IT_number 123
_space_group_name_Hall '-P 4 2'
_cell_length_a 3.048
_cell_length_b 3.048
_cell_length_c 7.111
_cell_angle_alpha 90.00
_cell_angle_beta 90.00
_cell_angle_gamma 90.00
loop_
_atom_site_label
_atom_site_fract_x
_atom_site_fract_y
_atom_site_fract_z
_atom_site_occupancy
Ca1 0.000 0.000 0.000 1
Fe1 0.000 0.000 0.500 1
Ru1 0.500 0.500 0.309 1

Entry 6:
# CoHg2Cl | Alexandria via LeMat-Bulk | PBE-GGA | relaxed
# - Crystal system: cubic
# - Theoretical density: 10.1 g/cm³
# - Formation energy (no corrections): 0.7194 eV per atom
# - Total magnetic moment: 0.0 Bohr magnetons per cell
data_CoHg2Cl
_chemical_formula_sum 'Co4 Hg8 Cl4'
_space_group_name_H-M_alt 'F m -3 m'
_space_group_IT_number 225
_space_group_name_Hall '-F 4 2 3'
_cell_length_a 6.887
_cell_length_b 6.887
_cell_length_c 6.887
_cell_angle_alpha 90.00
_cell_angle_beta 90.00
_cell_angle_gamma 90.00
loop_
_atom_site_label
_atom_site_fract_x
_atom_site_fract_y
_atom_site_fract_z
_atom_site_occupancy
Co1 0.000 0.000 0.000 1
Hg1 0.250 0.250 0.250 1
Cl1 0.000 0.000 0.500 1

Entry 7:
# Mg6Au5 | Alexandria via LeMat-Bulk | PBE-GGA | relaxed
# - Crystal system: monoclinic
# - Theoretical density: 8.9 g/cm³
# - Energy of formation from the pure elements: -0.565 eV per atom
# - Total magnetic moment: 0.0 Bohr magnetons per cell
data_Mg6Au5
_chemical_formula_sum 'Mg12 Au10'
_space_group_name_H-M_alt 'C 1 2/m 1'
_space_group_IT_number 12
_space_group_name_Hall '-C 2y'
_cell_length_a 14.470
_cell_length_b 6.620
_cell_length_c 4.622
_cell_angle_alpha 90.00
_cell_angle_beta 107.39
_cell_angle_gamma 90.00
loop_
_atom_site_label
_atom_site_fract_x
_atom_site_fract_y
_atom_site_fract_z
_atom_site_occupancy
Mg1 0.000 0.244 0.000 1
Mg2 0.163 0.247 0.663 1
Au1 0.000 0.500 0.500 1
Au2 0.166 0.000 0.166 1
Au3 0.170 0.500 0.170 1

Entry 8:
# InSn2Pb2 | Alexandria via LeMat-Bulk | PBE-GGA | relaxed
# - Crystal system: tetragonal
# - Theoretical density: 7.9 g/cm³
# - Energy of formation from the pure elements: 0.129 eV per atom
# - Total magnetic moment: 0.0 Bohr magnetons per cell
data_InSn2Pb2
_chemical_formula_sum 'In2 Sn4 Pb4'
_space_group_name_H-M_alt 'I 4/m m m'
_space_group_IT_number 139
_space_group_name_Hall '-I 4 2'
_cell_length_a 4.480
_cell_length_b 4.480
_cell_length_c 16.104
_cell_angle_alpha 90.00
_cell_angle_beta 90.00
_cell_angle_gamma 90.00
loop_
_atom_site_label
_atom_site_fract_x
_atom_site_fract_y
_atom_site_fract_z
_atom_site_occupancy
In1 0.000 0.000 0.000 1
Sn1 0.000 0.500 0.250 1
Pb1 0.000 0.000 0.396 1

Entry 9:
# UMnP | Alexandria via LeMat-Bulk | PBE-GGA | relaxed
# - Crystal system: orthorhombic
# - Theoretical density: 11.5 g/cm³
# - Energy of formation from the pure elements: -0.490 eV per atom
# - Total magnetic moment: 1.7 Bohr magnetons per cell
data_UMnP
_chemical_formula_sum 'U4 Mn4 P4'
_space_group_name_H-M_alt 'I m m m'
_space_group_IT_number 71
_space_group_name_Hall '-I 2 2'
_cell_length_a 4.076
_cell_length_b 5.559
_cell_length_c 8.283
_cell_angle_alpha 90.00
_cell_angle_beta 90.00
_cell_angle_gamma 90.00
loop_
_atom_site_label
_atom_site_fract_x
_atom_site_fract_y
_atom_site_fract_z
_atom_site_occupancy
U1 0.000 0.241 0.000 1
Mn1 0.000 0.000 0.337 1
P1 0.000 0.500 0.309 1

Entry 10:
# Dy2TlPb3 | Alexandria via LeMat-Bulk | PBE-GGA | relaxed
# - Crystal system: orthorhombic
# - Theoretical density: 10.0 g/cm³
# - Energy of formation from the pure elements: -0.172 eV per atom
# - Total magnetic moment: 0.0 Bohr magnetons per cell
data_Dy2TlPb3
_chemical_formula_sum 'Dy8 Tl4 Pb12'
_space_group_name_H-M_alt 'C m c m'
_space_group_IT_number 63
_space_group_name_Hall '-C 2c 2'
_cell_length_a 15.636
_cell_length_b 10.654
_cell_length_c 4.600
_cell_angle_alpha 90.00
_cell_angle_beta 90.00
_cell_angle_gamma 90.00
loop_
_atom_site_label
_atom_site_fract_x
_atom_site_fract_y
_atom_site_fract_z
_atom_site_occupancy
Dy1 0.136 0.138 0.250 1
Tl1 0.000 0.110 0.750 1
Pb1 0.000 0.392 0.250 1
Pb2 0.218 0.400 0.250 1

Entry 11:
# ScPaPN4 | Alexandria via LeMat-Bulk | PBE-GGA | relaxed
# - Crystal system: orthorhombic
# - Theoretical density: 7.0 g/cm³
# - Formation energy (no corrections): -0.9767 eV per atom
# - Total magnetic moment: 0.0 Bohr magnetons per cell
data_ScPaPN4
_chemical_formula_sum 'Sc4 Pa4 P4 N16'
_space_group_name_H-M_alt 'I m m a'
_space_group_IT_number 74
_space_group_name_Hall '-I 2b 2'
_cell_length_a 6.207
_cell_length_b 6.373
_cell_length_c 8.690
_cell_angle_alpha 90.00
_cell_angle_beta 90.00
_cell_angle_gamma 90.00
loop_
_atom_site_label
_atom_site_fract_x
_atom_site_fract_y
_atom_site_fract_z
_atom_site_occupancy
Sc1 0.250 0.250 0.250 1
Pa1 0.000 0.000 0.000 1
P1 0.000 0.250 0.627 1
N1 0.000 0.030 0.741 1
N2 0.220 0.250 0.513 1

Entry 12:
# Pb6C7 | Alexandria via LeMat-Bulk | PBE-GGA | relaxed
# - Crystal system: trigonal
# - Theoretical density: 7.9 g/cm³
# - Energy of formation from the pure elements: 1.452 eV per atom
# - Total magnetic moment: 0.0 Bohr magnetons per cell
data_Pb6C7
_chemical_formula_sum 'Pb18 C21'
_space_group_name_H-M_alt 'R -3 m'
_space_group_IT_number 166
_space_group_name_Hall '-R 3 2"'
_cell_length_a 5.1848
_cell_length_b 5.1848
_cell_length_c 36.1031
_cell_angle_alpha 90.00
_cell_angle_beta 90.00
_cell_angle_gamma 120.00
loop_
_atom_site_label
_atom_site_fract_x
_atom_site_fract_y
_atom_site_fract_z
_atom_site_occupancy
Pb1 0.0000 0.0000 0.0519 1
Pb2 0.0000 0.0000 0.1966 1
Pb3 0.0000 0.0000 0.3286 1
C1 0.0000 0.0000 0.5000 1
C2 0.0923 0.1846 0.4394 1